1.
VASP calculation (GGA-PBEsol) on a geometry-optimized GeMo3 structure.

The structure in POSCAR format:
```
GeMo3
1.0
4.907 0.000 0.000
0.000 4.907 0.000
0.000 0.000 4.907
Mo Ge
6 2
Direct
0.500 0.250 0.000
0.000 0.500 0.750
0.250 0.000 0.500
0.750 0.000 0.500
0.500 0.750 0.000
0.000 0.500 0.250
0.000 0.000 0.000
0.500 0.500 0.500
```

Its symmetry is Pm-3n, No. 223. The value obtained for the formation energy is -0.199 eV/atom.

2.
VASP calculation (GGA-PBEsol) on a geometry-optimized Ta5Sb structure.

The structure in POSCAR format:
```
Ta5Sb
1.0
-3.341 -0.716 0.708
-0.663 -1.212 -4.357
2.027 -5.798 3.702
Ta Sb
5 1
Direct
0.500 0.328 0.656
0.000 0.163 0.326
0.500 0.672 0.344
0.000 0.837 0.674
0.500 0.000 0.000
0.000 0.500 0.000
```

Its symmetry is Cmmm, No. 65. The uncorrected formation energy comes out at -0.3 eV/f.u.

3.
VASP calculation (GGA-PBEsol) on a geometry-optimized Cd2NiAg structure.

The structure in POSCAR format:
```
Cd2NiAg
1.0
-2.575 1.475 -0.038
-0.306 -0.458 2.916
3.664 6.433 1.395
Cd Ni Ag
2 1 1
Direct
0.500 0.500 0.290
0.000 0.000 0.984
0.000 0.000 0.507
0.500 0.500 0.719
```

Its symmetry is P4mm, No. 99. The value obtained for the formation energy is 0.063 eV/atom.

4.
VASP calculation (GGA-PBEsol) on a geometry-optimized NaSnHg3 structure.

The structure in POSCAR format:
```
NaSnHg3
1.0
-4.049 -3.466 1.527
2.864 -1.340 4.554
-2.478 4.115 2.769
Sn Na Hg
1 1 3
Direct
0.000 0.000 0.000
0.500 0.500 0.500
0.000 0.000 0.500
0.500 0.000 0.000
0.000 0.500 0.000
```

Its symmetry is Pm-3m, No. 221. The value obtained for the formation energy is 0.116 eV/atom.

5.
VASP calculation (GGA-PBEsol) on a geometry-optimized LaScCo2 structure.

The structure in POSCAR format:
```
LaScCo2
1.0
-0.794 1.384 -3.510
-3.101 -1.262 -1.914
-4.889 4.790 0.877
Sc Co La
1 2 1
Direct
0.294 0.294 0.119
0.036 0.036 0.892
0.702 0.702 0.893
0.468 0.468 0.596
```

Its symmetry is R3m, No. 160. The value obtained for the formation energy is -0.105 eV/atom.

6.
VASP calculation (GGA-PBEsol) on a geometry-optimized SrCd2Ga2 structure.

The structure in POSCAR format:
```
SrCd2Ga2
1.0
4.470 0.000 0.000
0.000 4.470 0.000
-2.235 -2.235 5.649
Sr Ga Cd
1 2 2
Direct
0.000 0.000 0.000
0.609 0.609 0.218
0.391 0.391 0.782
0.750 0.250 0.500
0.250 0.750 0.500
```

Its symmetry is I4/mmm, No. 139. The value obtained for the formation energy is -0.379 eV/atom.